[1]
RbNbH3 after structural relaxation, computed with PBE.

Output
relative energy among the computed polymorphs: 0.000 eV/atom
total energy: -4.0218 eV per atom
spin magnetization: 3.00 μB/cell

Cell and atoms, written as CIF:
```
data_RbNbH3
_chemical_formula_sum 'Rb1 Nb1 H3'
_cell_length_a 4.138
_cell_length_b 4.138
_cell_length_c 4.138
_cell_angle_alpha 90.00
_cell_angle_beta 90.00
_cell_angle_gamma 90.00
_space_group_name_H-M_alt 'P m -3 m'
_space_group_IT_number 221
_space_group_name_Hall '-P 4 2 3'
loop_
_atom_site_label
_atom_site_fract_x
_atom_site_fract_y
_atom_site_fract_z
Rb1 0.000 0.000 0.000
Nb1 0.500 0.500 0.500
H1 0.000 0.500 0.500
```

=====

[2]
Rb3NbH after structural relaxation, computed with PBE.

Output
relative energy among the computed polymorphs: 0.000 eV/atom
total energy: -2.3860 eV per atom
spin magnetization: 5.00 μB/cell

Cell and atoms, written as CIF:
```
data_Rb3NbH
_chemical_formula_sum 'Rb3 Nb1 H1'
_cell_length_a 5.893
_cell_length_b 5.893
_cell_length_c 5.893
_cell_angle_alpha 90.00
_cell_angle_beta 90.00
_cell_angle_gamma 90.00
_space_group_name_H-M_alt 'P m -3 m'
_space_group_IT_number 221
_space_group_name_Hall '-P 4 2 3'
loop_
_atom_site_label
_atom_site_fract_x
_atom_site_fract_y
_atom_site_fract_z
Rb1 0.000 0.000 0.500
Nb1 0.500 0.500 0.500
H1 0.000 0.000 0.000
```

=====

[3]
Rb2NbH after structural relaxation, computed with PBE.

Output
relative energy among the computed polymorphs: 0.574 eV/atom
total energy: -2.3844 eV per atom
spin magnetization: 23.61 μB/cell

Cell and atoms, written as CIF:
```
data_Rb2NbH
_chemical_formula_sum 'Rb8 Nb4 H4'
_cell_length_a 8.467
_cell_length_b 8.467
_cell_length_c 8.467
_cell_angle_alpha 90.00
_cell_angle_beta 90.00
_cell_angle_gamma 90.00
_space_group_name_H-M_alt 'F m -3 m'
_space_group_IT_number 225
_space_group_name_Hall '-F 4 2 3'
loop_
_atom_site_label
_atom_site_fract_x
_atom_site_fract_y
_atom_site_fract_z
Rb1 0.250 0.250 0.250
Nb1 0.000 0.000 0.000
H1 0.000 0.000 0.500
```

=====

[4]
RbSc2NbH after structural relaxation, computed with PBE.

Output
total energy: -2.8519 eV per atom
spin magnetization: 0.00 μB/cell

Cell and atoms, written as CIF:
```
data_RbSc2NbH
_chemical_formula_sum 'Rb1 Sc2 Nb1 H1'
_cell_length_a 5.275
_cell_length_b 5.275
_cell_length_c 4.758
_cell_angle_alpha 90.00
_cell_angle_beta 90.00
_cell_angle_gamma 90.00
_space_group_name_H-M_alt 'P 4/m m m'
_space_group_IT_number 123
_space_group_name_Hall '-P 4 2'
loop_
_atom_site_label
_atom_site_fract_x
_atom_site_fract_y
_atom_site_fract_z
Rb1 0.000 0.000 0.000
Sc1 0.000 0.500 0.000
Nb1 0.000 0.000 0.500
H1 0.500 0.500 0.500
```